The following is a GGA-PBE calculation of a geometry-optimized Cr2RuBr structure, from Alexandria.

**ρ**: 8.0 g/cm³
**Energy above the lowest structure with this stoichiometry**: 300.7 meV/atom
**Formation energy without anion corrections**: 0.770 eV/atom

Structure (extended XYZ):
```
4
Lattice="2.7290 -3.6540 0.0000 2.7290 3.6540 0.0000 0.0000 0.0000 2.9709" Properties=species:S:1:pos:R:3 pbc="T T T"
Cr 1.3645 1.8270 0.0000
Cr 1.3645 -1.8270 0.0000
Ru 0.0000 0.0000 1.4855
Br 2.7290 0.0000 1.4855
```